one | Density functional theory data (PBE) for an optimized crystal structure of Te2WAuN.

Cell lengths 5.5265, 5.5265, 3.8413 Å; angles 90.00, 90.00, 90.00 degrees
Sites, in units of the cell vectors:
Te 0.0000 0.5000 0.0000
Te 0.5000 0.0000 0.0000
W 0.0000 0.0000 0.5000
Au 0.5000 0.5000 0.0000
N 0.5000 0.5000 0.5000

Summary:
Its space group is P4/mmm.

***

two | Density functional theory data (PBE) for an optimized crystal structure of Te2WAuN.

Cell lengths 5.4154, 5.4154, 3.8137 Å; angles 90.00, 90.00, 90.00 degrees
Sites, in units of the cell vectors:
Te 0.0000 0.5000 0.0000
Te 0.5000 0.0000 0.0000
W 0.0000 0.0000 0.0000
Au 0.5000 0.5000 0.5000
N 0.0000 0.0000 0.5000

Summary:
Its space group is P4/mmm.

***

The relative energies come out as one 119.9; two 0.0, with values in kJ/mol of atoms.

***

one | Density functional theory data (PBE) for an optimized crystal structure of YTe2AuN.

Cell lengths 5.6141, 5.6141, 4.0128 Å; angles 90.00, 90.00, 90.00 degrees
Sites, in units of the cell vectors:
Y 0.0000 0.0000 0.0000
Te 0.0000 0.5000 0.5000
Te 0.5000 0.0000 0.5000
Au 0.5000 0.5000 0.5000
N 0.5000 0.5000 0.0000

Summary:
Its space group is P4/mmm.

***

two | Density functional theory data (PBE) for an optimized crystal structure of YTe2AuN.

Cell lengths 6.0275, 6.0275, 4.0335 Å; angles 90.00, 90.00, 90.00 degrees
Sites, in units of the cell vectors:
Y 0.0000 0.0000 0.0000
Te 0.0000 0.5000 0.0000
Te 0.5000 0.0000 0.0000
Au 0.5000 0.5000 0.5000
N 0.0000 0.0000 0.5000

Summary:
Its space group is P4/mmm.

***

The relative energies come out as one 0.0; two 22.6, with values in kJ/mol of atoms.

***

one | Density functional theory data (PBE) for an optimized crystal structure of ZnTe2AuN.

Cell lengths 5.7613, 5.7613, 3.7590 Å; angles 90.00, 90.00, 90.00 degrees
Sites, in units of the cell vectors:
Zn 0.0000 0.0000 0.0000
Te 0.0000 0.5000 0.5000
Te 0.5000 0.0000 0.5000
Au 0.5000 0.5000 0.5000
N 0.5000 0.5000 0.0000

Summary:
Its space group is P4/mmm.

***

two | Density functional theory data (PBE) for an optimized crystal structure of ZnTe2AuN.

Cell lengths 5.6398, 5.6398, 3.5618 Å; angles 90.00, 90.00, 90.00 degrees
Sites, in units of the cell vectors:
Zn 0.0000 0.0000 0.0000
Te 0.0000 0.5000 0.0000
Te 0.5000 0.0000 0.0000
Au 0.5000 0.5000 0.5000
N 0.0000 0.0000 0.5000

Summary:
Its space group is P4/mmm.

***

The relative energies come out as one 7.6; two 0.0, with values in kJ/mol of atoms.

***

one | Density functional theory data (PBE) for an optimized crystal structure of ZrTe2AuN.

Cell lengths 5.5696, 5.5696, 3.8902 Å; angles 90.00, 90.00, 90.00 degrees
Sites, in units of the cell vectors:
Zr 0.0000 0.0000 0.0000
Te 0.0000 0.5000 0.5000
Te 0.5000 0.0000 0.5000
Au 0.5000 0.5000 0.5000
N 0.5000 0.5000 0.0000

Summary:
Its space group is P4/mmm.

***

two | Density functional theory data (PBE) for an optimized crystal structure of ZrTe2AuN.

Cell lengths 5.7561, 5.7561, 3.9765 Å; angles 90.00, 90.00, 90.00 degrees
Sites, in units of the cell vectors:
Zr 0.0000 0.0000 0.0000
Te 0.0000 0.5000 0.0000
Te 0.5000 0.0000 0.0000
Au 0.5000 0.5000 0.5000
N 0.0000 0.0000 0.5000

Summary:
Its space group is P4/mmm.

***

The relative energies come out as one 48.6; two 0.0, with values in kJ/mol of atoms.

***

one | Density functional theory data (PBE) for an optimized crystal structure of ZrTeAuN2.

Cell lengths 4.1963, 4.1963, 5.2540 Å; angles 90.00, 90.00, 90.00 degrees
Sites, in units of the cell vectors:
Zr 0.0000 0.0000 0.0000
Te 0.5000 0.5000 0.0000
Au 0.5000 0.5000 0.5000
N 0.0000 0.5000 0.5000
N 0.5000 0.0000 0.5000

Summary:
Its space group is P4/mmm.

***

two | Density functional theory data (PBE) for an optimized crystal structure of ZrTeAuN2.

Cell lengths 4.1183, 4.1183, 6.0649 Å; angles 90.00, 90.00, 90.00 degrees
Sites, in units of the cell vectors:
Zr 0.0000 0.0000 0.0000
Te 0.5000 0.5000 0.5000
Au 0.0000 0.0000 0.5000
N 0.0000 0.5000 0.0000
N 0.5000 0.0000 0.0000

Summary:
Its space group is P4/mmm.

***

The relative energies come out as one 88.1; two 0.0, with values in kJ/mol of atoms.

***

one | Density functional theory data (PBE) for an optimized crystal structure of ThAuN.

Cell lengths 9.3571, 9.3571, 9.3571 Å; angles 24.87, 24.87, 24.87 degrees
Sites, in units of the cell vectors:
Th 0.2207 0.2207 0.2207
Th 0.7793 0.7793 0.7793
Au 0.3643 0.3643 0.3643
Au 0.6357 0.6357 0.6357
N 0.1334 0.1334 0.1334
N 0.8666 0.8666 0.8666

Summary:
Its space group is R-3m.

***

two | Density functional theory data (PBE) for an optimized crystal structure of ThAuN.

Cell lengths 5.9717, 5.9717, 5.9717 Å; angles 146.89, 146.89, 47.53 degrees
Sites, in units of the cell vectors:
Th 0.0000 0.0000 0.0000
Au 0.2883 0.2883 0.0000
N 0.5343 0.5343 0.0000

Summary:
Its space group is I4mm.

***

three | Density functional theory data (PBE) for an optimized crystal structure of ThAuN.

Cell lengths 4.0749, 4.0749, 7.4325 Å; angles 90.00, 90.00, 90.00 degrees
Sites, in units of the cell vectors:
Th 0.2500 0.2500 0.1567
Th 0.7500 0.7500 0.8433
Au 0.2500 0.2500 0.5872
Au 0.7500 0.7500 0.4128
N 0.2500 0.7500 0.0000
N 0.7500 0.2500 0.0000

Summary:
Its space group is P4/nmm.

***

four | Density functional theory data (PBE) for an optimized crystal structure of ThAuN.

Cell lengths 10.7339, 10.7339, 10.7339 Å; angles 161.62, 161.62, 26.11 degrees
Sites, in units of the cell vectors:
Th 0.1788 0.1788 0.0000
Th 0.8212 0.8212 0.0000
Au 0.4334 0.4334 0.0000
Au 0.5666 0.5666 0.0000
N 0.2927 0.2927 0.0000
N 0.7073 0.7073 0.0000

Summary:
Its space group is I4/mmm.

***

The relative energies come out as one 6.1; two 52.0; three 0.0; four 28.7, with values in kJ/mol of atoms.

***

one | Density functional theory data (PBE) for an optimized crystal structure of Ti2Au2N.

Cell lengths 7.3058, 7.3058, 7.3058 Å; angles 151.59, 151.59, 40.61 degrees
Sites, in units of the cell vectors:
Ti 0.2500 0.7500 0.5000
Ti 0.7500 0.2500 0.5000
Au 0.1000 0.1000 0.0000
Au 0.9000 0.9000 0.0000
N 0.5000 0.5000 0.0000

Summary:
Its space group is I4/mmm.

***

two | Density functional theory data (PBE) for an optimized crystal structure of Ti2Au2N.

Cell lengths 6.6000, 6.6000, 3.8077 Å; angles 90.00, 90.00, 90.00 degrees
Sites, in units of the cell vectors:
Ti 0.1593 0.3407 0.0000
Ti 0.3407 0.8407 0.0000
Ti 0.6593 0.1593 0.0000
Ti 0.8407 0.6593 0.0000
Au 0.1462 0.6462 0.5000
Au 0.3538 0.1462 0.5000
Au 0.6462 0.8538 0.5000
Au 0.8538 0.3538 0.5000
N 0.0000 0.0000 0.5000
N 0.5000 0.5000 0.5000

Summary:
Its space group is P4/mbm.

***

The relative energies come out as one 39.3; two 0.0, with values in kJ/mol of atoms.

***

one | Density functional theory data (PBE) for an optimized crystal structure of TiAuN2.

Cell lengths 5.7866, 5.7866, 5.7866 Å; angles 130.25, 130.25, 73.01 degrees
Sites, in units of the cell vectors:
Ti 0.0000 0.0000 0.0000
Ti 0.7500 0.2500 0.5000
Au 0.2500 0.7500 0.5000
Au 0.5000 0.5000 0.0000
N 0.0711 0.6250 0.9461
N 0.3750 0.3211 0.4461
N 0.6789 0.1250 0.0539
N 0.8750 0.9289 0.5539

Summary:
Its space group is I-42d.

***

two | Density functional theory data (PBE) for an optimized crystal structure of TiAuN2.

Cell lengths 3.9498, 3.9498, 3.9498 Å; angles 60.00, 60.00, 60.00 degrees
Sites, in units of the cell vectors:
Ti 0.0000 0.0000 0.0000
Au 0.5000 0.5000 0.5000
N 0.2500 0.2500 0.2500
N 0.7500 0.7500 0.7500

Summary:
Its space group is Fm-3m.

***

The relative energies come out as one 0.0; two 82.7, with values in kJ/mol of atoms.

***

one | Density functional theory data (PBE) for an optimized crystal structure of Tl3AuN.

Cell lengths 4.9837, 4.9837, 4.9837 Å; angles 90.00, 90.00, 90.00 degrees
Sites, in units of the cell vectors:
Tl 0.0000 0.0000 0.5000
Tl 0.0000 0.5000 0.0000
Tl 0.5000 0.0000 0.0000
Au 0.5000 0.5000 0.5000
N 0.0000 0.0000 0.0000

Summary:
Its space group is Pm-3m.

***

two | Density functional theory data (PBE) for an optimized crystal structure of Tl3AuN.

Cell lengths 5.4911, 5.4911, 5.4911 Å; angles 90.00, 90.00, 90.00 degrees
Sites, in units of the cell vectors:
Tl 0.0000 0.0000 0.5000
Tl 0.0000 0.5000 0.0000
Tl 0.5000 0.0000 0.0000
Au 0.0000 0.0000 0.0000
N 0.5000 0.5000 0.5000

Summary:
Its space group is Pm-3m.

***

The relative energies come out as one 0.0; two 56.4, with values in kJ/mol of atoms.

***

one | Density functional theory data (PBE) for an optimized crystal structure of TlAu3N.

Cell lengths 5.3930, 5.3930, 5.3930 Å; angles 90.00, 90.00, 90.00 degrees
Sites, in units of the cell vectors:
Tl 0.0000 0.0000 0.0000
Au 0.0000 0.0000 0.5000
Au 0.0000 0.5000 0.0000
Au 0.5000 0.0000 0.0000
N 0.5000 0.5000 0.5000

Summary:
Its space group is Pm-3m.

***

two | Density functional theory data (PBE) for an optimized crystal structure of TlAu3N.

Cell lengths 4.5819, 4.5819, 4.5819 Å; angles 90.00, 90.00, 90.00 degrees
Sites, in units of the cell vectors:
Tl 0.0000 0.0000 0.0000
Au 0.0000 0.5000 0.5000
Au 0.5000 0.0000 0.5000
Au 0.5000 0.5000 0.0000
N 0.5000 0.5000 0.5000

Summary:
Its space group is Pm-3m.

***

The relative energies come out as one 99.7; two 0.0, with values in kJ/mol of atoms.

***

one | Density functional theory data (PBE) for an optimized crystal structure of W3AuN.

Cell lengths 4.8365, 4.8365, 4.8365 Å; angles 90.00, 90.00, 90.00 degrees
Sites, in units of the cell vectors:
W 0.0000 0.0000 0.5000
W 0.0000 0.5000 0.0000
W 0.5000 0.0000 0.0000
Au 0.0000 0.0000 0.0000
N 0.5000 0.5000 0.5000

Summary:
Its space group is Pm-3m.

***

two | Density functional theory data (PBE) for an optimized crystal structure of W3AuN.

Cell lengths 4.1512, 4.1512, 4.1512 Å; angles 90.00, 90.00, 90.00 degrees
Sites, in units of the cell vectors:
W 0.0000 0.0000 0.5000
W 0.0000 0.5000 0.0000
W 0.5000 0.0000 0.0000
Au 0.5000 0.5000 0.5000
N 0.0000 0.0000 0.0000

Summary:
Its space group is Pm-3m.

***

The relative energies come out as one 357.9; two 0.0, with values in kJ/mol of atoms.

***

one | Density functional theory data (PBE) for an optimized crystal structure of WAu3N.

Cell lengths 5.0463, 5.0463, 5.0463 Å; angles 90.00, 90.00, 90.00 degrees
Sites, in units of the cell vectors:
W 0.0000 0.0000 0.0000
Au 0.0000 0.0000 0.5000
Au 0.0000 0.5000 0.0000
Au 0.5000 0.0000 0.0000
N 0.5000 0.5000 0.5000

Summary:
Its space group is Pm-3m.

***

two | Density functional theory data (PBE) for an optimized crystal structure of WAu3N.

Cell lengths 4.3331, 4.3331, 4.3331 Å; angles 90.00, 90.00, 90.00 degrees
Sites, in units of the cell vectors:
W 0.0000 0.0000 0.0000
Au 0.0000 0.5000 0.5000
Au 0.5000 0.0000 0.5000
Au 0.5000 0.5000 0.0000
N 0.5000 0.5000 0.5000

Summary:
Its space group is Pm-3m.

***

The relative energies come out as one 103.2; two 0.0, with values in kJ/mol of atoms.

***

one | Density functional theory data (PBE) for an optimized crystal structure of Y2Au2N.

Cell lengths 5.3116, 5.3116, 5.3116 Å; angles 113.95, 113.95, 100.85 degrees
Sites, in units of the cell vectors:
Y 0.2500 0.7500 0.5000
Y 0.7500 0.2500 0.5000
Au 0.1884 0.1884 0.0000
Au 0.8116 0.8116 0.0000
N 0.5000 0.5000 0.0000

Summary:
Its space group is I4/mmm.

***

two | Density functional theory data (PBE) for an optimized crystal structure of Y2Au2N.

Cell lengths 7.4272, 7.4272, 3.9122 Å; angles 90.00, 90.00, 90.00 degrees
Sites, in units of the cell vectors:
Y 0.1749 0.3251 0.0000
Y 0.3251 0.8251 0.0000
Y 0.6749 0.1749 0.0000
Y 0.8251 0.6749 0.0000
Au 0.1308 0.6308 0.5000
Au 0.3692 0.1308 0.5000
Au 0.6308 0.8692 0.5000
Au 0.8692 0.3692 0.5000
N 0.0000 0.0000 0.5000
N 0.5000 0.5000 0.5000

Summary:
Its space group is P4/mbm.

***

The relative energies come out as one 21.4; two 0.0, with values in kJ/mol of atoms.